Here is a geometry-optimized Y4Ni2Sn structure from Alexandria. Energies are from PBE.

- energy of formation (meV/atom) = -428
- symmetry = Cc, No. 9

Cell lengths 8.6258, 8.6258, 6.7708 Å; angles 107.69, 107.69, 121.12 degrees
Closest atoms and distances in Å follow each position.
Positions (direct):
Y (0.0076, 0.9924, 0.5000)  3 Ni 2.76-3.08
Y (0.0350, 0.4568, 0.2869)  3 Ni 2.77-2.90
Y (0.3055, 0.8738, 0.1616)  2 Ni 2.67-2.81
Y (0.4396, 0.5975, 0.8443)  3 Ni 2.70-2.99
Y (0.4568, 0.0350, 0.7869)  3 Ni 2.77-2.90
Y (0.5975, 0.4396, 0.3443)  3 Ni 2.70-2.99
Y (0.8738, 0.3055, 0.6616)  2 Ni 2.67-2.81
Y (0.9924, 0.0076, 0.0000)  3 Ni 2.76-3.08
Ni (0.0496, 0.7232, 0.6853)  4 Y 2.67-2.88
Ni (0.2276, 0.3911, 0.0244)  5 Y 2.70-2.99, 1 Sn 2.72
Ni (0.3911, 0.2276, 0.5244)  5 Y 2.70-2.99, 1 Sn 2.72
Ni (0.7232, 0.0496, 0.1853)  4 Y 2.67-2.88
Sn (0.5561, 0.7863, 0.4738)  1 Ni 2.72
Sn (0.7863, 0.5561, 0.9738)  1 Ni 2.72